No. 1
## Cu2Ir (PBEsol)

Data for a geometry-optimized Cu2Ir structure.

Lattice parameters (Å, degrees): 8.6664 2.6814 7.0463 90.00 114.55 90.00
Space group C2/m (No. 12)
Unique sites:
Cu 0.0063 0.0000 0.2720 x4
Cu 0.1700 0.5000 0.5870 x4
Ir 0.1614 0.5000 0.0738 x4

## Properties
Energy above the most stable polymorph in this dataset ... 0 meV/atom
Energy of formation from the pure elements ... 66 meV/atom

---

No. 2
## NaP3H (PBEsol)

Data for a geometry-optimized NaP3H structure.

Lattice parameters (Å, degrees): 4.0560 4.0560 4.0560 90.00 90.00 90.00
Space group Pm-3m (No. 221)
Unique sites:
Na 0.0000 0.0000 0.0000 x1
P 0.0000 0.5000 0.5000 x3
H 0.5000 0.5000 0.5000 x1

---

No. 3
## CrPb (PBEsol)

Data for a geometry-optimized CrPb structure.

Lattice parameters (Å, degrees): 3.4867 3.4867 3.4867 90.00 90.00 90.00
Space group Pm-3m (No. 221)
Unique sites:
Cr 0.0000 0.0000 0.0000 x1
Pb 0.5000 0.5000 0.5000 x1

## Properties
Energy of formation from the pure elements ... 749 meV/atom

---

Calculated energy, -73.2; -19.6; -12.7 eV/cell (same order as the records).
Calculated ρ, 14.240; 2.910; 10.154 g/cm3 (same order as the records).